Here is a relaxed PmGdBiI crystal from Alexandria via LeMat-Bulk. Energies are from PBE.

## Properties
Total magnetic moment (μB/cell): 8.31
Formation energy (no corrections) (kJ/mol of formula units): -315.2
Final energy (eV/atom): -6.88
Space group: No. 216

Cell: 5.539 5.539 5.539 Å, 60.00 60.00 60.00°
Element x y z (fractional)
Pm  0.000  0.000  0.000
Gd  0.500  0.500  0.500
Bi  0.250  0.250  0.250
I  0.750  0.750  0.750

Here is a relaxed ReMo2Os crystal from Alexandria via LeMat-Bulk. Energies are from PBE.

## Properties
ΔE_f (eV per formula unit): 0.61
Total magnetic moment (μB/cell): 0.00
Final energy (eV/atom): -11.18
Space group: No. 12

Cell: 4.828 4.828 4.832 Å, 99.49 99.49 33.43°
Element x y z (fractional)
Re  0.000  0.000  0.000
Mo  0.247  0.247  0.746
Mo  0.753  0.753  0.254
Os  0.500  0.500  0.500

Here is a relaxed La5Nd2Hg crystal from Alexandria via LeMat-Bulk. Energies are from PBE.

## Properties
ΔE_f (eV per formula unit): -0.67
Total magnetic moment (μB/cell): 0.00
Final energy (eV/atom): -4.39
Space group: No. 8

Cell: 7.224 7.224 7.225 Å, 119.69 119.69 90.51°
Element x y z (fractional)
La  0.000  0.000  0.000
La  0.000  0.500  0.000
La  0.001  0.001  0.501
La  0.499  0.499  0.499
La  0.500  0.000  0.000
Nd  0.000  0.500  0.500
Nd  0.500  0.000  0.500
Hg  0.500  0.500  0.000

Here is a relaxed AcLaSbCl crystal from Alexandria via LeMat-Bulk. Energies are from PBE.

## Properties
Total magnetic moment (μB/cell): 0.22
Formation energy (no corrections) (kJ/mol of formula units): -494.2
Final energy (eV/atom): -5.03
Space group: No. 216

Cell: 5.528 5.528 5.528 Å, 60.00 60.00 60.00°
Element x y z (fractional)
Ac  0.000  0.000  0.000
La  0.500  0.500  0.500
Sb  0.750  0.750  0.750
Cl  0.250  0.250  0.250

Here is a relaxed CsMgBiF6 crystal from Alexandria via LeMat-Bulk. Energies are from PBE.

## Properties
Total magnetic moment (μB/cell): 0.00
Formation energy (no corrections) (kJ/mol of formula units): -2526.1
Final energy (eV/atom): -4.86
Space group: No. 74

Cell: 7.848 7.848 7.848 Å, 121.07 116.23 92.40°
Element x y z (fractional)
Cs  0.323  0.073  0.250
Cs  0.677  0.927  0.750
Mg  0.000  0.000  0.500
Mg  0.000  0.500  0.000
Bi  0.000  0.500  0.500
Bi  0.500  0.500  0.000
F  0.021  0.771  0.250
F  0.041  0.388  0.194
F  0.041  0.847  0.653
F  0.306  0.153  0.694
F  0.306  0.612  0.153
F  0.348  0.598  0.750
F  0.652  0.402  0.250
F  0.694  0.388  0.847
F  0.694  0.847  0.306
F  0.959  0.153  0.347
F  0.959  0.612  0.806
F  0.979  0.229  0.750

Here is a relaxed SrTc2P crystal from Alexandria via LeMat-Bulk. Energies are from PBE.

## Properties
ΔE_f (eV per formula unit): 1.11
Total magnetic moment (μB/cell): 0.00
Final energy (eV/atom): -6.68
Space group: No. 123

Cell: 3.071 3.071 7.726 Å, 90.00 90.00 90.00°
Element x y z (fractional)
Sr  0.000  0.000  0.000
Tc  0.500  0.500  0.336
Tc  0.500  0.500  0.664
P  0.000  0.000  0.500

Here is a relaxed Pm6Ge2CI3 crystal from Alexandria via LeMat-Bulk. Energies are from PBE.

## Properties
Total magnetic moment (μB/cell): 0.00
Formation energy (no corrections) (kJ/mol of formula units): -1040.7
Final energy (eV/atom): -5.20
Space group: No. 12

Cell: 7.242 7.242 8.064 Å, 98.60 98.60 119.94°
Element x y z (fractional)
Pm  0.062  0.365  0.186
Pm  0.240  0.240  0.812
Pm  0.365  0.062  0.186
Pm  0.635  0.938  0.814
Pm  0.760  0.760  0.188
Pm  0.938  0.635  0.814
Ge  0.334  0.666  0.000
Ge  0.666  0.334  0.000
C  0.000  0.000  0.000
I  0.172  0.828  0.500
I  0.500  0.500  0.500
I  0.828  0.172  0.500

Here is a relaxed Li8Ag6Hg crystal from Alexandria via LeMat-Bulk. Energies are from PBE.

## Properties
ΔE_f (eV per formula unit): -1.37
Total magnetic moment (μB/cell): 0.00
Final energy (eV/atom): -2.27
Space group: No. 148

Cell: 7.111 7.111 7.111 Å, 66.60 66.60 66.60°
Element x y z (fractional)
Li  0.084  0.375  0.683
Li  0.213  0.213  0.213
Li  0.317  0.916  0.625
Li  0.375  0.683  0.084
Li  0.625  0.317  0.916
Li  0.683  0.084  0.375
Li  0.787  0.787  0.787
Li  0.916  0.625  0.317
Ag  0.110  0.818  0.429
Ag  0.182  0.571  0.890
Ag  0.429  0.110  0.818
Ag  0.571  0.890  0.182
Ag  0.818  0.429  0.110
Ag  0.890  0.182  0.571
Hg  0.500  0.500  0.500